# 1
An optimized crystal structure of AcMg3Sn3. Source: Alexandria via LeMat-Bulk, functional GGA-PBE.

POSCAR file:
```
AcMg3Sn3
1.0
7.728 0.000 0.000
0.000 7.728 0.000
0.000 0.000 7.728
Ac Mg Sn
2 6 6
direct
0.000 0.000 0.000
0.500 0.500 0.500
0.000 0.250 0.500
0.000 0.750 0.500
0.250 0.500 0.000
0.500 0.000 0.250
0.500 0.000 0.750
0.750 0.500 0.000
0.000 0.500 0.250
0.000 0.500 0.750
0.250 0.000 0.500
0.500 0.250 0.000
0.500 0.750 0.000
0.750 0.000 0.500
```

Values from the calculation:
Calculated total energy (eV per cell): -40.051

---

# 2
An optimized crystal structure of Cs4Tl3AgBr8. Source: Alexandria via LeMat-Bulk, functional GGA-PBE.

POSCAR file:
```
Cs4Tl3AgBr8
1.0
8.506 -4.870 0.000
8.506 4.870 0.000
-5.447 0.000 8.131
Cs Tl Ag Br
4 3 1 8
direct
0.000 0.000 0.000
0.000 0.500 0.500
0.500 0.000 0.500
0.500 0.500 0.000
0.000 0.000 0.500
0.000 0.500 0.000
0.500 0.000 0.000
0.500 0.500 0.500
0.242 0.242 0.757
0.249 0.249 0.234
0.273 0.713 0.287
0.287 0.727 0.713
0.713 0.273 0.287
0.727 0.287 0.713
0.751 0.751 0.766
0.758 0.758 0.243
```

Values from the calculation:
Uncorrected formation energy (eV/atom): -1.2182

---

no.,V (Å³ per cell)
1,461.5
2,673.6